CaY2Te at its PBEsol-relaxed geometry, computed with meta-GGA SCAN.

Properties
energy relative to the elements, uncorrected: -417 meV/atom
VASP energy: -26.067 eV/atom
DOS(E_F): 8.7 states/eV/cell
M_tot: 0.00 Bohr magnetons per cell

CIF file:
```
data_CaY2Te
_symmetry_space_group_name_H-M 'I -4 m 2'
_symmetry_Int_Tables_number 119
_symmetry_space_group_name_Hall 'I -4 -2'
_cell_length_a 4.5850
_cell_length_b 4.5850
_cell_length_c 10.7631
_cell_angle_alpha 90.00
_cell_angle_beta 90.00
_cell_angle_gamma 90.00
loop_
_atom_site_label
_atom_site_type_symbol
_atom_site_fract_x
_atom_site_fract_y
_atom_site_fract_z
Ca1 Ca 0.0000 0.0000 0.0000
Y1 Y 0.0000 0.0000 0.5000
Y2 Y 0.0000 0.5000 0.7500
Te1 Te 0.0000 0.5000 0.2500
```